[1]
# CaTaSn2O

A relaxed structure of CaTaSn2O (GGA-PBE, the Alexandria database).

Calculated values
Crystal system: tetragonal
E_form (uncorrected) (eV/atom): -0.6800
Symmetry: P4/mmm (123)
Uncorrected energy (Ry per atom): -0.444

a b c (Å): 5.7538 5.7538 3.8282
angles (deg): 90.00 90.00 90.00
Last column: nearest neighbours and their distance in Å.
Positions (direct):
Ca (0.0000, 0.0000, 0.0000)  8 Sn 3.46, 2 Ca 3.83
Ta (0.5000, 0.5000, 0.5000)  2 O 1.91
Sn (0.0000, 0.5000, 0.5000)  2 Ta 2.88
Sn (0.5000, 0.0000, 0.5000)  2 Ta 2.88
O (0.5000, 0.5000, 0.0000)  2 Ta 1.91


[2]
# CeHo2Cd

A relaxed structure of CeHo2Cd (GGA-PBE, the Alexandria database).

Calculated values
Crystal system: tetragonal
ΔH_f (0 K) (eV per formula unit): -0.4
Symmetry: P4/mmm (123)
Uncorrected energy (Ry per atom): -0.302
Energy above the lowest structure with this stoichiometry (eV per atom): 0.0000

a b c (Å): 3.5358 3.5358 8.8872
angles (deg): 90.00 90.00 90.00
Last column: nearest neighbours and their distance in Å.
Positions (direct):
Ce (0.0000, 0.0000, 0.0000)  8 Ho 3.45, 4 Ce 3.54
Ho (0.5000, 0.5000, 0.2668)  4 Cd 3.25, 4 Ce 3.45, 4 Ho 3.54
Ho (0.5000, 0.5000, 0.7332)  4 Cd 3.25, 4 Ce 3.45, 4 Ho 3.54
Cd (0.0000, 0.0000, 0.5000)  8 Ho 3.25, 4 Cd 3.54


[3]
# Cd2ReOs

A relaxed structure of Cd2ReOs (GGA-PBE, the Alexandria database).

Calculated values
Crystal system: orthorhombic
ΔH_f (0 K) (eV per formula unit): 2.6
Symmetry: Imm2 (44)
Uncorrected energy (Ry per atom): -0.420
Energy above the lowest structure with this stoichiometry (eV per atom): 0.4484

a b c (Å): 6.0414 6.0414 6.0414
angles (deg): 153.02 132.21 55.73
Last column: nearest neighbours and their distance in Å.
Positions (direct):
Cd (0.0000, 0.0000, 0.0000)  2 Cd 2.82, 4 Os 2.88, 2 Re 3.09
Cd (0.7025, 0.2025, 0.5000)  2 Cd 2.82, 4 Re 2.88, 2 Os 3.05
Re (0.2569, 0.7569, 0.5000)  2 Os 2.49
Os (0.4493, 0.4493, 0.0000)  2 Re 2.49


[4]
# HfScCuRu

A relaxed structure of HfScCuRu (GGA-PBE, the Alexandria database).

Calculated values
Crystal system: tetragonal
ΔH_f (0 K) (eV per formula unit): -1.9
Symmetry: P4mm (99)
Uncorrected energy (Ry per atom): -0.580
Energy above the lowest structure with this stoichiometry (eV per atom): 0.0000

a b c (Å): 3.2425 3.2425 6.5377
angles (deg): 90.00 90.00 90.00
Last column: nearest neighbours and their distance in Å.
Positions (direct):
Hf (0.0000, 0.0000, 0.0000)  4 Ru 2.75, 4 Cu 2.82
Sc (0.0000, 0.0000, 0.5105)  4 Ru 2.84, 4 Cu 2.85
Cu (0.5000, 0.5000, 0.2524)  4 Hf 2.82, 4 Sc 2.85
Ru (0.5000, 0.5000, 0.7671)  4 Hf 2.75, 4 Sc 2.84


[5]
# LiFe2Pd3

A relaxed structure of LiFe2Pd3 (GGA-PBE, the Alexandria database).

Calculated values
Crystal system: orthorhombic
ΔH_f (0 K) (eV per formula unit): -0.3
Symmetry: Cmmm (65)
Uncorrected energy (Ry per atom): -0.426

a b c (Å): 6.2248 6.2248 7.0730
angles (deg): 90.00 90.00 143.16
Last column: nearest neighbours and their distance in Å.
Positions (direct):
Li (0.1656, 0.8344, 0.0000)  8 Pd 2.60-2.66, 2 Fe 2.77, 2 Li 2.80
Li (0.8344, 0.1656, 0.0000)  8 Pd 2.60-2.66, 2 Fe 2.77, 2 Li 2.80
Fe (0.1664, 0.8336, 0.5000)  8 Pd 2.66-2.68, 4 Fe 2.78-2.79
Fe (0.5000, 0.5000, 0.0000)  8 Pd 2.60-2.62, 4 Li 2.77
Fe (0.5000, 0.5000, 0.5000)  8 Pd 2.64-2.69, 4 Fe 2.78
Fe (0.8336, 0.1664, 0.5000)  8 Pd 2.66-2.68, 4 Fe 2.78-2.79
Pd (0.0000, 0.0000, 0.2415)  2 Li 2.60, 6 Fe 2.60-2.69, 4 Pd 2.77
Pd (0.0000, 0.0000, 0.7585)  2 Li 2.60, 6 Fe 2.60-2.69, 4 Pd 2.77
Pd (0.3350, 0.6650, 0.2473)  5 Fe 2.62-2.68, 3 Li 2.63-2.66, 4 Pd 2.77-2.81
Pd (0.3350, 0.6650, 0.7527)  5 Fe 2.62-2.68, 3 Li 2.63-2.66, 4 Pd 2.77-2.81
Pd (0.6650, 0.3350, 0.2473)  5 Fe 2.62-2.68, 3 Li 2.63-2.66, 4 Pd 2.77-2.81
Pd (0.6650, 0.3350, 0.7527)  5 Fe 2.62-2.68, 3 Li 2.63-2.66, 4 Pd 2.77-2.81


[6]
# Pr2Cu2Ni

A relaxed structure of Pr2Cu2Ni (GGA-PBE, the Alexandria database).

Calculated values
Crystal system: monoclinic
ΔH_f (0 K) (eV per formula unit): -1.2
Symmetry: C2/m (12)
Uncorrected energy (Ry per atom): -0.363

a b c (Å): 5.6879 5.6879 11.3321
angles (deg): 115.86 115.86 41.59
Last column: nearest neighbours and their distance in Å.
Positions (direct):
Pr (0.0577, 0.0577, 0.3590)  4 Ni 2.96-3.30, 7 Cu 3.04-3.24
Pr (0.2043, 0.2043, 0.1167)  2 Ni 2.93, 6 Cu 3.00-3.20
Pr (0.7957, 0.7957, 0.8833)  2 Ni 2.93, 6 Cu 3.00-3.20
Pr (0.9423, 0.9423, 0.6410)  4 Ni 2.96-3.30, 7 Cu 3.04-3.24
Cu (0.3723, 0.3723, 0.4188)  2 Ni 2.44, 1 Cu 2.47
Cu (0.4939, 0.4939, 0.1141)  1 Ni 2.52, 1 Cu 2.65
Cu (0.5061, 0.5061, 0.8859)  1 Ni 2.52, 1 Cu 2.65
Cu (0.6277, 0.6277, 0.5812)  2 Ni 2.44, 1 Cu 2.47
Ni (0.2645, 0.2645, 0.6843)  3 Cu 2.44-2.52
Ni (0.7355, 0.7355, 0.3157)  3 Cu 2.44-2.52


What is the formula in the sixth record? Pr2Cu2Ni


Please write out number 6 again, unchanged.
# Pr2Cu2Ni

A relaxed structure of Pr2Cu2Ni (GGA-PBE, the Alexandria database).

Calculated values
Crystal system: monoclinic
ΔH_f (0 K) (eV per formula unit): -1.2
Symmetry: C2/m (12)
Uncorrected energy (Ry per atom): -0.363

a b c (Å): 5.6879 5.6879 11.3321
angles (deg): 115.86 115.86 41.59
Last column: nearest neighbours and their distance in Å.
Positions (direct):
Pr (0.0577, 0.0577, 0.3590)  4 Ni 2.96-3.30, 7 Cu 3.04-3.24
Pr (0.2043, 0.2043, 0.1167)  2 Ni 2.93, 6 Cu 3.00-3.20
Pr (0.7957, 0.7957, 0.8833)  2 Ni 2.93, 6 Cu 3.00-3.20
Pr (0.9423, 0.9423, 0.6410)  4 Ni 2.96-3.30, 7 Cu 3.04-3.24
Cu (0.3723, 0.3723, 0.4188)  2 Ni 2.44, 1 Cu 2.47
Cu (0.4939, 0.4939, 0.1141)  1 Ni 2.52, 1 Cu 2.65
Cu (0.5061, 0.5061, 0.8859)  1 Ni 2.52, 1 Cu 2.65
Cu (0.6277, 0.6277, 0.5812)  2 Ni 2.44, 1 Cu 2.47
Ni (0.2645, 0.2645, 0.6843)  3 Cu 2.44-2.52
Ni (0.7355, 0.7355, 0.3157)  3 Cu 2.44-2.52


What did the fifth record say?
# LiFe2Pd3

A relaxed structure of LiFe2Pd3 (GGA-PBE, the Alexandria database).

Calculated values
Crystal system: orthorhombic
ΔH_f (0 K) (eV per formula unit): -0.3
Symmetry: Cmmm (65)
Uncorrected energy (Ry per atom): -0.426

a b c (Å): 6.2248 6.2248 7.0730
angles (deg): 90.00 90.00 143.16
Last column: nearest neighbours and their distance in Å.
Positions (direct):
Li (0.1656, 0.8344, 0.0000)  8 Pd 2.60-2.66, 2 Fe 2.77, 2 Li 2.80
Li (0.8344, 0.1656, 0.0000)  8 Pd 2.60-2.66, 2 Fe 2.77, 2 Li 2.80
Fe (0.1664, 0.8336, 0.5000)  8 Pd 2.66-2.68, 4 Fe 2.78-2.79
Fe (0.5000, 0.5000, 0.0000)  8 Pd 2.60-2.62, 4 Li 2.77
Fe (0.5000, 0.5000, 0.5000)  8 Pd 2.64-2.69, 4 Fe 2.78
Fe (0.8336, 0.1664, 0.5000)  8 Pd 2.66-2.68, 4 Fe 2.78-2.79
Pd (0.0000, 0.0000, 0.2415)  2 Li 2.60, 6 Fe 2.60-2.69, 4 Pd 2.77
Pd (0.0000, 0.0000, 0.7585)  2 Li 2.60, 6 Fe 2.60-2.69, 4 Pd 2.77
Pd (0.3350, 0.6650, 0.2473)  5 Fe 2.62-2.68, 3 Li 2.63-2.66, 4 Pd 2.77-2.81
Pd (0.3350, 0.6650, 0.7527)  5 Fe 2.62-2.68, 3 Li 2.63-2.66, 4 Pd 2.77-2.81
Pd (0.6650, 0.3350, 0.2473)  5 Fe 2.62-2.68, 3 Li 2.63-2.66, 4 Pd 2.77-2.81
Pd (0.6650, 0.3350, 0.7527)  5 Fe 2.62-2.68, 3 Li 2.63-2.66, 4 Pd 2.77-2.81